This record from Alexandria describes a crystal of HgPdIO2 relaxed with PBEsol. The functional is SCAN.

Lattice parameters (Å, degrees): 3.993 3.993 6.854 90.00 90.00 90.00
Fractional positions:
Hg1 0.000 0.000 0.000
Pd1 0.500 0.500 0.500
I1 0.000 0.000 0.500
O1 0.000 0.500 0.000
O2 0.500 0.000 0.000

Output
Formation energy from raw total energies ... 0.54 eV/atom
Fermi-level density of states ... 0.8674 states/eV/atom